[1]
Computed, not measured: a crystal of SrCa2Y relaxed with PBEsol at the SCAN level of DFT.

The structure in CIF format:
```
data_SrCa2Y
_chemical_formula_sum 'Sr2 Ca4 Y2'
_symmetry_space_group_name_H-M 'C m m 2'
_symmetry_Int_Tables_number 35
_symmetry_space_group_name_Hall 'C 2 -2'
_cell_length_a 4.185
_cell_length_b 6.079
_cell_length_c 12.261
_cell_angle_alpha 90.00
_cell_angle_beta 90.00
_cell_angle_gamma 90.00
loop_
_atom_site_label
_atom_site_type_symbol
_atom_site_fract_x
_atom_site_fract_y
_atom_site_fract_z
Sr1 Sr 0.000 0.000 0.000
Ca1 Ca 0.000 0.000 0.479
Ca2 Ca 0.000 0.500 0.732
Y1 Y 0.000 0.500 0.246
```

Calculated values
DFT formation energy ... 0.13 eV/atom
E ... -137.9 eV per cell
Energy above the lowest structure with this stoichiometry ... 17 meV/atom



[2]
Computed, not measured: a crystal of SrCa2Y relaxed with PBEsol at the SCAN level of DFT.

The structure in CIF format:
```
data_SrCa2Y
_chemical_formula_sum 'Sr2 Ca4 Y2'
_symmetry_space_group_name_H-M 'C m m m'
_symmetry_Int_Tables_number 65
_symmetry_space_group_name_Hall '-C 2 2'
_cell_length_a 4.247
_cell_length_b 6.043
_cell_length_c 12.150
_cell_angle_alpha 90.00
_cell_angle_beta 90.00
_cell_angle_gamma 90.00
loop_
_atom_site_label
_atom_site_type_symbol
_atom_site_fract_x
_atom_site_fract_y
_atom_site_fract_z
Sr1 Sr 0.000 0.000 0.000
Ca1 Ca 0.000 0.500 0.267
Y1 Y 0.000 0.000 0.500
```

Calculated values
DFT formation energy ... 0.12 eV/atom
E ... -137.9 eV per cell
Energy above the lowest structure with this stoichiometry ... 10 meV/atom



[3]
Computed, not measured: a crystal of Sr2CaZn relaxed with PBEsol at the SCAN level of DFT.

The structure in CIF format:
```
data_Sr2CaZn
_chemical_formula_sum 'Sr4 Ca2 Zn2'
_symmetry_space_group_name_H-M 'I m m 2'
_symmetry_Int_Tables_number 44
_symmetry_space_group_name_Hall 'I 2 -2'
_cell_length_a 3.931
_cell_length_b 5.995
_cell_length_c 12.511
_cell_angle_alpha 90.00
_cell_angle_beta 90.00
_cell_angle_gamma 90.00
loop_
_atom_site_label
_atom_site_type_symbol
_atom_site_fract_x
_atom_site_fract_y
_atom_site_fract_z
Sr1 Sr 0.000 0.000 0.000
Sr2 Sr 0.000 0.500 0.196
Ca1 Ca 0.000 0.000 0.389
Zn1 Zn 0.000 0.500 0.703
```

Calculated values
DFT formation energy ... -0.06 eV/atom
E ... -136.0 eV per cell



[4]
Computed, not measured: a crystal of SrCaZn2 relaxed with PBEsol at the SCAN level of DFT.

The structure in CIF format:
```
data_SrCaZn2
_chemical_formula_sum 'Sr4 Ca4 Zn8'
_symmetry_space_group_name_H-M 'F -4 3 m'
_symmetry_Int_Tables_number 216
_symmetry_space_group_name_Hall 'F -4 2 3'
_cell_length_a 7.137
_cell_length_b 7.137
_cell_length_c 7.137
_cell_angle_alpha 90.00
_cell_angle_beta 90.00
_cell_angle_gamma 90.00
loop_
_atom_site_label
_atom_site_type_symbol
_atom_site_fract_x
_atom_site_fract_y
_atom_site_fract_z
Sr1 Sr 0.000 0.000 0.000
Ca1 Ca 0.250 0.250 0.250
Zn1 Zn 0.000 0.000 0.500
Zn2 Zn 0.250 0.250 0.750
```

Calculated values
DFT formation energy ... -0.04 eV/atom
E ... -236.5 eV per cell



[5]
Computed, not measured: a crystal of SrCaZn2 relaxed with PBEsol at the SCAN level of DFT.

The structure in CIF format:
```
data_SrCaZn2
_chemical_formula_sum 'Sr3 Ca3 Zn6'
_symmetry_space_group_name_H-M 'R 3 m'
_symmetry_Int_Tables_number 160
_symmetry_space_group_name_Hall 'R 3 -2"'
_cell_length_a 4.3883
_cell_length_b 4.3883
_cell_length_c 21.6658
_cell_angle_alpha 90.00
_cell_angle_beta 90.00
_cell_angle_gamma 120.00
loop_
_atom_site_label
_atom_site_type_symbol
_atom_site_fract_x
_atom_site_fract_y
_atom_site_fract_z
Sr1 Sr 0.0000 0.0000 0.0000
Ca1 Ca 0.0000 0.0000 0.1778
Zn1 Zn 0.0000 0.0000 0.4292
Zn2 Zn 0.0000 0.0000 0.7627
```

Calculated values
DFT formation energy ... -0.25 eV/atom
E ... -180.0 eV per cell



[6]
Computed, not measured: a crystal of Sr2CaZn relaxed with PBEsol at the SCAN level of DFT.

The structure in CIF format:
```
data_Sr2CaZn
_chemical_formula_sum 'Sr2 Ca1 Zn1'
_symmetry_space_group_name_H-M 'P 4 m m'
_symmetry_Int_Tables_number 99
_symmetry_space_group_name_Hall 'P 4 -2'
_cell_length_a 3.857
_cell_length_b 3.857
_cell_length_c 9.837
_cell_angle_alpha 90.00
_cell_angle_beta 90.00
_cell_angle_gamma 90.00
loop_
_atom_site_label
_atom_site_type_symbol
_atom_site_fract_x
_atom_site_fract_y
_atom_site_fract_z
Sr1 Sr 0.000 0.000 0.000
Sr2 Sr 0.500 0.500 0.335
Ca1 Ca 0.500 0.500 0.695
Zn1 Zn 0.000 0.000 0.532
```

Calculated values
DFT formation energy ... -0.11 eV/atom
E ... -68.2 eV per cell



[7]
Computed, not measured: a crystal of SrCaZn2 relaxed with PBEsol at the SCAN level of DFT.

The structure in CIF format:
```
data_SrCaZn2
_chemical_formula_sum 'Sr2 Ca2 Zn4'
_symmetry_space_group_name_H-M 'C 1 m 1'
_symmetry_Int_Tables_number 8
_symmetry_space_group_name_Hall 'C -2y'
_cell_length_a 11.822
_cell_length_b 3.630
_cell_length_c 5.271
_cell_angle_alpha 90.00
_cell_angle_beta 115.76
_cell_angle_gamma 90.00
loop_
_atom_site_label
_atom_site_type_symbol
_atom_site_fract_x
_atom_site_fract_y
_atom_site_fract_z
Sr1 Sr 0.000 0.000 0.000
Ca1 Ca 0.302 0.500 0.307
Zn1 Zn 0.066 0.500 0.564
Zn2 Zn 0.235 0.000 0.740
```

Calculated values
DFT formation energy ... -0.16 eV/atom
E ... -119.2 eV per cell



[8]
Computed, not measured: a crystal of Sr2CaZn relaxed with PBEsol at the SCAN level of DFT.

The structure in CIF format:
```
data_Sr2CaZn
_chemical_formula_sum 'Sr4 Ca2 Zn2'
_symmetry_space_group_name_H-M 'I -4 m 2'
_symmetry_Int_Tables_number 119
_symmetry_space_group_name_Hall 'I -4 -2'
_cell_length_a 5.116
_cell_length_b 5.116
_cell_length_c 11.105
_cell_angle_alpha 90.00
_cell_angle_beta 90.00
_cell_angle_gamma 90.00
loop_
_atom_site_label
_atom_site_type_symbol
_atom_site_fract_x
_atom_site_fract_y
_atom_site_fract_z
Sr1 Sr 0.000 0.000 0.000
Sr2 Sr 0.000 0.500 0.250
Ca1 Ca 0.000 0.500 0.750
Zn1 Zn 0.000 0.000 0.500
```

Calculated values
DFT formation energy ... 0.13 eV/atom
E ... -134.5 eV per cell